--- i ---
# In6SnHg2

A relaxed In6SnHg2 crystal (PBE-GGA, Alexandria via LeMat-Bulk).

POSCAR file:
```
In6SnHg2
1.0
-1.1745 -2.0573 2.4073
2.0002 -1.2175 -2.4339
19.8189 4.8846 13.8442
In Sn Hg
6 1 2
Cartesian
9.6210 0.6416 5.2424
12.0819 1.2481 6.9615
17.4803 2.5595 13.0854
2.1061 -1.2296 2.3460
5.3944 -0.4001 2.2900
16.3085 2.2898 9.9139
0.9420 -1.4975 -0.8201
13.1367 1.4890 10.0513
6.4497 -0.1591 5.3801
```



--- ii ---
# In6SnHg2

A relaxed In6SnHg2 crystal (PBE-GGA, Alexandria via LeMat-Bulk).

POSCAR file:
```
In6SnHg2
1.0
5.0830 0.0000 -1.5200
-0.4692 8.0338 -1.5690
-0.9030 0.0125 6.2394
In Sn Hg
6 1 2
Cartesian
2.8151 1.3799 0.1549
0.8958 6.6663 2.9955
0.2995 3.9713 1.0017
0.8588 1.3396 2.8719
2.8521 6.7066 0.2785
3.4114 4.0750 2.1487
1.4040 4.0294 4.6949
3.9120 1.3078 3.8229
-0.2011 6.7384 -0.6726
```



Name the least stable of them. ii.